Computed, not measured: an optimized crystal structure of CoHgAsIr2 at the PBE-GGA level of DFT.

```
CoHgAsIr2
1.0
4.9658 0.0000 0.0000
0.0000 4.6394 0.0000
0.0000 0.0000 4.9658
As Ir Co Hg
1 2 1 1
Direct
0.5000 0.5000 0.5000
0.0000 0.0000 0.5000
0.5000 0.0000 0.0000
0.0000 0.5000 0.0000
0.0000 0.0000 0.0000
```

Computed properties:
Electronic total energy: -3.83 eV/atom
Energy of formation: 2.13 eV/atom


Computed, not measured: an optimized crystal structure of LiCoHg2As at the PBE-GGA level of DFT.

```
LiCoHg2As
1.0
-0.6392 -0.2530 -5.3465
2.1034 -3.8526 -0.0691
-4.6881 -2.5718 0.6822
As Co Hg Li
1 1 2 1
Direct
0.0000 0.0000 0.0000
0.0000 0.5000 0.0000
0.0000 0.0000 0.5000
0.5000 0.0000 0.0000
0.5000 0.5000 0.5000
```

Computed properties:
Electronic total energy: -2.49 eV/atom
Energy of formation: 0.36 eV/atom


Which total moment belongs to each record? In order, 2.75, 1.08 μB/f.u..